Computed, not measured: an optimized crystal structure of CsSmAgTe3 at the PBE level of DFT.

a b c (Å): 9.0284 9.0284 11.5744
angles (deg): 90.00 90.00 151.83
Closest atoms and distances in Å follow each position.
Element x y z (fractional)
Te1 0.5686 0.4314 0.2500  2 Ag 2.85, 2 Sm 3.13
Te2 0.1244 0.8756 0.9497  1 Ag 2.79
Te3 0.1244 0.8756 0.5503  1 Ag 2.79
Te4 0.8756 0.1244 0.0503  1 Ag 2.79
Te5 0.8756 0.1244 0.4497  1 Ag 2.79
Te6 0.4314 0.5686 0.7500  2 Ag 2.85, 2 Sm 3.13
Cs1 0.2492 0.7508 0.2500  8 Te 3.85-4.11
Cs2 0.7508 0.2492 0.7500  8 Te 3.85-4.11
Ag1 0.0350 0.9650 0.7500  4 Te 2.79-2.85
Ag2 0.9650 0.0350 0.2500  4 Te 2.79-2.85
Sm1 0.5000 0.5000 0.5000  6 Te 3.13-3.15
Sm2 0.5000 0.5000 0.0000  6 Te 3.13-3.15

As for the space group: Cmcm, No. 63.



Computed, not measured: an optimized crystal structure of Rb2MoSe3 at the PBE level of DFT.

a b c (Å): 7.9736 7.9736 10.2374
angles (deg): 121.41 121.41 54.44
Closest atoms and distances in Å follow each position.
Element x y z (fractional)
Se1 0.2283 0.7717 0.0000  2 Mo 2.45
Se2 0.3925 0.3925 0.6047  1 Mo 2.38
Se3 0.6075 0.6075 0.3953  1 Mo 2.38
Se4 0.7949 0.7949 0.2185  1 Mo 2.39
Se5 0.7717 0.2283 0.0000  2 Mo 2.45
Se6 0.2051 0.2051 0.7815  1 Mo 2.39
Mo1 0.3947 0.3947 0.8389  4 Se 2.38-2.45
Mo2 0.6053 0.6053 0.1611  4 Se 2.38-2.45
Rb1 0.0866 0.0866 0.3683  7 Se 3.47-3.66
Rb2 0.9134 0.9134 0.6317  7 Se 3.47-3.66
Rb3 0.3034 0.3034 0.1869  7 Se 3.52-3.91
Rb4 0.6966 0.6966 0.8131  7 Se 3.52-3.91

As for the space group: C2/m, No. 12. For the relative energy among the computed polymorphs, the calculation gives 0 meV per atom.



Computed, not measured: an optimized crystal structure of BaNdB2Pt8 at the PBE level of DFT.

a b c (Å): 5.5892 5.5892 7.6459
angles (deg): 90.00 90.00 120.00
Closest atoms and distances in Å follow each position.
Element x y z (fractional)
Pt1 0.5000 0.0000 0.2995  2 B 2.23
Pt2 0.5000 0.5000 0.2995  2 B 2.23
Pt3 0.5000 0.5000 0.7005  2 B 2.23
Pt4 0.5000 0.0000 0.7005  2 B 2.23
Pt5 0.6667 0.3333 0.0000  6 Pt 2.80
Pt6 0.0000 0.5000 0.7005  2 B 2.23
Pt7 0.0000 0.5000 0.2995  2 B 2.23
Pt8 0.3333 0.6667 0.0000  6 Pt 2.80
Nd1 0.0000 0.0000 0.0000  18 Pt 3.23-3.61
B1 0.6667 0.3333 0.5000  6 Pt 2.23
B2 0.3333 0.6667 0.5000  6 Pt 2.23
Ba1 0.0000 0.0000 0.5000  12 Pt 3.19, 6 B 3.23

As for the space group: P6/mmm, No. 191. For the relative energy among the computed polymorphs, the calculation gives 50 meV per atom.



Computed, not measured: an optimized crystal structure of Te2Ir2O5 at the PBE level of DFT.

a b c (Å): 7.9459 3.7231 3.7231
angles (deg): 90.00 90.00 90.00
Closest atoms and distances in Å follow each position.
Element x y z (fractional)
Ir1 0.5000 0.0000 0.0000  8 O 2.26
Ir2 0.0000 0.0000 0.0000  8 Te 3.08, 8 O 3.28
O1 0.3396 0.0000 0.5000  2 Te 2.16, 2 O 2.26, 2 Ir 2.26
O2 0.6604 0.0000 0.5000  2 Te 2.16, 2 O 2.26, 2 Ir 2.26
O3 0.6604 0.5000 0.0000  2 Te 2.16, 2 O 2.26, 2 Ir 2.26
O4 0.5000 0.5000 0.5000  8 O 2.26, 2 Te 2.37
O5 0.3396 0.5000 0.0000  2 Te 2.16, 2 O 2.26, 2 Ir 2.26
Te1 0.2015 0.5000 0.5000  5 O 2.16-2.37
Te2 0.7985 0.5000 0.5000  5 O 2.16-2.37

As for the space group: P4/mmm, No. 123. For the relative energy among the computed polymorphs, the calculation gives 458 meV per atom.



Computed, not measured: an optimized crystal structure of GaTcTe2 at the PBE level of DFT.

a b c (Å): 4.9074 4.9074 4.9074
angles (deg): 60.00 60.00 60.00
Closest atoms and distances in Å follow each position.
Element x y z (fractional)
Ga1 0.0000 0.0000 0.0000  4 Te 3.01, 4 Tc 3.01
Te1 0.5000 0.5000 0.5000  4 Tc 3.01, 4 Te 3.01
Te2 0.7500 0.7500 0.7500  4 Ga 3.01, 4 Te 3.01
Tc1 0.2500 0.2500 0.2500  4 Te 3.01, 4 Ga 3.01

As for the space group: F-43m, No. 216.



Computed, not measured: an optimized crystal structure of YHo2Fe2B2N3 at the PBE level of DFT.

a b c (Å): 10.4772 10.4772 10.4772
angles (deg): 161.14 161.14 26.80
Closest atoms and distances in Å follow each position.
Element x y z (fractional)
N1 0.8852 0.8852 0.0000  1 B 1.49
N2 0.5000 0.5000 0.0000  4 Y 2.43, 2 Ho 2.49
N3 0.1148 0.1148 0.0000  1 B 1.49
Ho1 0.3778 0.3778 0.0000  5 N 2.43-2.49
Ho2 0.6222 0.6222 0.0000  5 N 2.43-2.49
B1 0.8123 0.8123 0.0000  1 N 1.49
B2 0.1877 0.1877 0.0000  1 N 1.49
Fe1 0.7500 0.2500 0.5000  4 B 2.14
Fe2 0.2500 0.7500 0.5000  4 B 2.14
Y1 0.0000 0.0000 0.0000  6 N 2.34-2.43

As for the space group: I4/mmm, No. 139.



Computed, not measured: an optimized crystal structure of ReOs2W2 at the PBE level of DFT.

a b c (Å): 6.6513 6.6513 6.6513
angles (deg): 147.53 147.53 46.58
Closest atoms and distances in Å follow each position.
Element x y z (fractional)
W1 0.6038 0.6038 0.0000  1 W 2.54, 4 Os 2.58
W2 0.3962 0.3962 0.0000  1 W 2.54, 4 Os 2.58
Re1 0.0000 0.0000 0.0000  8 W 2.92
Os1 0.7500 0.2500 0.5000  4 W 2.58, 4 Os 2.63
Os2 0.2500 0.7500 0.5000  4 W 2.58, 4 Os 2.63

As for the space group: I4/mmm, No. 139. For the relative energy among the computed polymorphs, the calculation gives 85 meV per atom.



Computed, not measured: an optimized crystal structure of SnPt8 at the PBE level of DFT.

a b c (Å): 4.7908 4.7908 30.7345
angles (deg): 90.24 90.24 48.81
Closest atoms and distances in Å follow each position.
Element x y z (fractional)
Pt1 0.2495 0.2495 0.7223  3 Sn 2.76-2.78, 6 Pt 2.78-2.91
Pt2 0.0506 0.0506 0.5438  12 Pt 2.76-2.84
Pt3 0.6495 0.6495 0.4850  12 Pt 2.77-2.84
Pt4 0.2492 0.2492 0.4274  12 Pt 2.76-2.86
Pt5 0.4518 0.4518 0.6029  12 Pt 2.76-2.89
Pt6 0.1523 0.1523 0.6317  12 Pt 2.76-2.91
Pt7 0.3505 0.3505 0.5150  12 Pt 2.77-2.84
Pt8 0.5517 0.5517 0.6926  9 Pt 2.78-2.89, 2 Sn 2.82
Pt9 0.7508 0.7508 0.5726  12 Pt 2.76-2.86
Pt10 0.9494 0.9494 0.4562  12 Pt 2.76-2.84
Pt11 0.8477 0.8477 0.3683  12 Pt 2.76-2.91
Pt12 0.8501 0.8501 0.6615  11 Pt 2.78-2.86, 1 Sn 2.86
Pt13 0.4483 0.4483 0.3074  9 Pt 2.78-2.89, 2 Sn 2.82
Pt14 0.5482 0.5482 0.3971  12 Pt 2.76-2.89
Pt15 0.7505 0.7505 0.2777  3 Sn 2.76-2.78, 6 Pt 2.78-2.91
Pt16 0.1499 0.1499 0.3385  11 Pt 2.78-2.86, 1 Sn 2.86
Sn1 0.0534 0.0534 0.2496  6 Pt 2.76-2.86
Sn2 0.9466 0.9466 0.7504  6 Pt 2.76-2.86

As for the space group: C2/m, No. 12.



Number 1: total energy -3.908 eV/atom, magnetic moment 0.01 μB per formula unit. Number 2: total energy -4.709 eV/atom, magnetic moment 1.00 μB per formula unit. Number 3: total energy -6.342 eV/atom, magnetic moment 0.01 μB per formula unit. Number 4: total energy -5.000 eV/atom, magnetic moment 1.49 μB per formula unit. Number 5: total energy -4.213 eV/atom, magnetic moment 0.02 μB per formula unit. Number 6: total energy -8.234 eV/atom, magnetic moment 2.37 μB per formula unit. Number 7: total energy -11.142 eV/atom, magnetic moment 0.22 μB per formula unit. Number 8: total energy -5.875 eV/atom, magnetic moment 0.03 μB per formula unit.